DFT (PBE) results for an optimized crystal structure of Cr2BiCl2.

Lattice parameters (Å, degrees): 8.8951 8.8951 3.1532 90.00 90.00 90.00
Space group P4/mbm (No. 127)
Inequivalent atoms, fractional coordinates:
Cr1 0.0741 0.4259 0.0000
Bi1 0.0000 0.0000 0.5000
Cl1 0.1360 0.6360 0.5000

Computed properties:
electronic total energy = -4.77 eV per atom
raw formation energy = 0.5957 eV per atom
energy above the lowest structure with this stoichiometry = 17.40 kJ per mole of atoms
calculated volume = 249.5 Å³/cell



DFT (PBE) results for an optimized crystal structure of GaBrF3.

Lattice parameters (Å, degrees): 5.1726 5.0091 6.4140 90.00 90.11 90.00
Space group P2_1 (No. 4)
Inequivalent atoms, fractional coordinates:
Ga1 0.2500 0.0000 0.0098
Br1 0.2491 0.7523 0.6636
F1 0.0013 0.7420 0.1073
F2 0.2509 0.1898 0.2676
F3 0.4990 0.7418 0.1076

Computed properties:
electronic total energy = -3.82 eV per atom
raw formation energy = -1.7617 eV per atom
energy above the lowest structure with this stoichiometry = 0.00 kJ per mole of atoms
calculated volume = 166.2 Å³/cell



DFT (PBE) results for an optimized crystal structure of SmYNi.

Lattice parameters (Å, degrees): 3.5990 3.5990 7.3580 90.00 90.00 120.00
Space group P3m1 (No. 156)
Inequivalent atoms, fractional coordinates:
Sm1 0.0000 0.0000 0.0000
Y1 0.6667 0.3333 0.5893
Ni1 0.0000 0.0000 0.3570

Computed properties:
electronic total energy = -5.40 eV per atom
energy above the lowest structure with this stoichiometry = 46.78 kJ per mole of atoms
calculated volume = 82.5 Å³/cell



DFT (PBE) results for an optimized crystal structure of PSI2.

Lattice parameters (Å, degrees): 7.2238 7.2238 7.2238 90.00 90.00 90.00
Space group Fm-3m (No. 225)
Inequivalent atoms, fractional coordinates:
P1 0.0000 0.0000 0.0000
S1 0.0000 0.0000 0.5000
I1 0.2500 0.2500 0.2500

Computed properties:
electronic total energy = -2.18 eV per atom
raw formation energy = 0.9788 eV per atom
energy above the lowest structure with this stoichiometry = 92.28 kJ per mole of atoms
calculated volume = 377.0 Å³/cell



> What is the calculated volume in the third record?

82.5 Å³/cell